Record 1
Entry from the Open Quantum Materials Database: a relaxed structure of SrSn2IrPd (GGA-PBE).

Cell lengths 4.509, 4.509, 11.339 Å; angles 90.00, 90.00, 90.00 degrees
Space group P4/nmm (No. 129, origin choice 2)
One atom of each set of equivalent atoms:
Sr 0.250 0.250 0.242 x2
Sn 0.250 0.250 0.875 x2
Sn 0.250 0.750 0.500 x2
Ir 0.250 0.750 0.000 x2
Pd 0.250 0.250 0.638 x2

Summary:
The calculation puts the distance to the lowest polymorph of the same formula at 13 meV/atom. The calculated total energy comes out at -0.39253 Ry/atom. The size of the total moment comes out at 0.002 μB per atom.

Record 2
Entry from the Open Quantum Materials Database: a relaxed structure of AlIn2AgBr6 (GGA-PBE).

Cell lengths 10.629, 10.629, 10.629 Å; angles 90.00, 90.00, 90.00 degrees
Space group Fm-3m (No. 225)
One atom of each set of equivalent atoms:
Al 0.000 0.000 0.000 x4
In 0.250 0.250 0.250 x8
Ag 0.000 0.000 0.500 x4
Br 0.000 0.000 0.237 x24

Summary:
The calculated total energy comes out at -0.21351 Ry/atom.

Record 3
Entry from the Open Quantum Materials Database: a relaxed structure of Tm2Ga4CuAu (GGA-PBE).

Cell lengths 6.652, 3.480, 13.420 Å; angles 90.00, 90.00, 90.00 degrees
Space group Amm2 (No. 38)
One atom of each set of equivalent atoms:
Tm 0.000 0.000 0.000 x2
Tm 0.500 0.000 0.486 x2
Ga 0.196 0.000 0.651 x4
Ga 0.291 0.000 0.837 x4
Cu 0.000 0.000 0.296 x2
Au 0.500 0.000 0.181 x2

Summary:
The calculated total energy comes out at -0.28117 Ry/atom. The size of the total moment comes out at 0.000 μB per atom.

Record 4
Entry from the Open Quantum Materials Database: a relaxed structure of Lu4CdSbC2 (GGA-PBE).

Cell lengths 3.5285, 3.5285, 15.4626 Å; angles 90.00, 90.00, 120.00 degrees
Space group P-6m2 (No. 187)
One atom of each set of equivalent atoms:
Lu 0.0000 0.0000 0.1598 x2
Lu 0.3333 0.6667 0.3272 x2
Cd 0.0000 0.0000 0.5000 x1
Sb 0.3333 0.6667 0.0000 x1
C 0.6667 0.3333 0.2419 x2

Summary:
The calculated total energy comes out at -0.42070 Ry/atom. The size of the total moment comes out at 0.079 μB per atom.

Record 5
Entry from the Open Quantum Materials Database: a relaxed structure of Li3Zr3Ta2O12 (GGA-PBE).

Cell lengths 11.927, 11.927, 11.927 Å; angles 90.00, 90.00, 90.00 degrees
Space group Ia-3d (No. 230)
One atom of each set of equivalent atoms:
Li 0.000 0.250 0.375 x24
Zr 0.000 0.250 0.125 x24
Ta 0.000 0.000 0.000 x16
O 0.026 0.064 0.653 x96

Summary:
The calculated total energy comes out at -0.62487 Ry/atom. The size of the total moment comes out at 0.050 μB per atom.

Record 6
Entry from the Open Quantum Materials Database: a relaxed structure of KRb3Cu2P2 (GGA-PBE).

Cell lengths 6.332, 5.934, 6.362 Å; angles 90.00, 107.44, 90.00 degrees
Space group Pm (No. 6)
One atom of each set of equivalent atoms:
K 0.000 0.000 0.000 x1
Rb 0.372 0.500 0.047 x1
Rb 0.660 0.000 0.335 x1
Rb 0.713 0.500 0.710 x1
Cu 0.185 0.250 0.520 x2
P 0.406 0.000 0.751 x1
P 0.961 0.500 0.294 x1

Summary:
The calculated total energy comes out at -0.22557 Ry/atom.

Record 7
Entry from the Open Quantum Materials Database: a relaxed structure of NaCuGeSeS2 (GGA-PBE).

Cell lengths 3.515, 13.425, 10.212 Å; angles 90.00, 90.00, 90.00 degrees
Space group Cmcm (No. 63)
One atom of each set of equivalent atoms:
Na 0.000 0.246 0.250 x4
Cu 0.000 0.442 0.750 x4
Ge 0.000 0.000 0.000 x4
Se 0.000 0.070 0.750 x4
S 0.000 0.374 0.550 x8

Summary:
The calculated total energy comes out at -0.28934 Ry/atom.

Record 8
Entry from the Open Quantum Materials Database: a relaxed structure of Pr2SmCd3Pt2Au (GGA-PBE).

Cell lengths 4.044, 13.508, 7.806 Å; angles 90.00, 90.00, 90.00 degrees
Space group Amm2 (No. 38)
One atom of each set of equivalent atoms:
Pr 0.000 0.206 0.000 x4
Sm 0.000 0.000 0.617 x2
Cd 0.500 0.000 0.948 x2
Cd 0.500 0.128 0.335 x4
Pt 0.500 0.166 0.705 x4
Au 0.000 0.000 0.207 x2

Summary:
For the formation energy from the elements, the calculation gives -7.14 eV per formula unit. The calculated total energy comes out at -0.32228 Ry/atom. The size of the total moment comes out at 0.001 μB per atom.

Record 9
Entry from the Open Quantum Materials Database: a relaxed structure of Gd3AgI (GGA-PBE).

Cell lengths 5.626, 5.626, 5.626 Å; angles 90.00, 90.00, 90.00 degrees
Space group Pm-3m (No. 221)
One atom of each set of equivalent atoms:
Gd 0.000 0.000 0.500 x3
Ag 0.500 0.500 0.500 x1
I 0.000 0.000 0.000 x1

Summary:
The calculated total energy comes out at -0.24406 Ry/atom. The size of the total moment comes out at 0.001 μB per atom.

Record 10
Entry from the Open Quantum Materials Database: a relaxed structure of Ge2W8C3N3 (GGA-PBE).

Cell lengths 3.1493, 3.1493, 22.3281 Å; angles 90.00, 90.00, 120.00 degrees
Space group P-3m1 (No. 164)
One atom of each set of equivalent atoms:
Ge 0.3333 0.6667 0.2527 x2
W 0.0000 0.0000 0.1598 x2
W 0.0000 0.0000 0.3391 x2
W 0.3333 0.6667 0.0592 x2
W 0.3333 0.6667 0.4502 x2
C 0.0000 0.0000 0.0000 x1
C 0.3333 0.6667 0.8862 x2
N 0.0000 0.0000 0.5000 x1
N 0.3333 0.6667 0.6061 x2

Summary:
The calculated total energy comes out at -0.73945 Ry/atom. The size of the total moment comes out at 0.000 μB per atom.

Record 11
Entry from the Open Quantum Materials Database: a relaxed structure of Er2MgIrO6 (GGA-PBE).

Cell lengths 5.250, 5.661, 9.173 Å; angles 90.00, 124.37, 90.00 degrees
Space group P2_1/c (No. 14)
One atom of each set of equivalent atoms:
Er 0.226 0.077 0.251 x4
Mg 0.500 0.000 0.000 x2
Ir 0.000 0.000 0.500 x2
O 0.120 0.194 0.938 x4
O 0.254 0.694 0.938 x4
O 0.375 0.048 0.748 x4

Summary:
The calculated total energy comes out at -0.54958 Ry/atom. The size of the total moment comes out at 0.100 μB per atom.

Record 12
Entry from the Open Quantum Materials Database: a relaxed structure of HoTmB4 (GGA-PBE).

Cell lengths 3.271, 5.664, 7.590 Å; angles 90.00, 90.00, 90.00 degrees
Space group Immm (No. 71)
One atom of each set of equivalent atoms:
Ho 0.000 0.000 0.000 x2
Tm 0.000 0.000 0.500 x2
B 0.000 0.333 0.249 x8

Summary:
The calculated total energy comes out at -0.48375 Ry/atom. The size of the total moment comes out at 0.001 μB per atom.